[1]
A plane-wave DFT calculation with GGA-PBE was carried out for RbNaTe2I after structural relaxation.

Values from the calculation:
**Distance to the lowest polymorph of the same formula**: 2.12 eV/f.u.
**Formation energy (no corrections)**: 89 meV per atom
**Raw total energy**: -1.9348 eV/atom

a b c (Å): 6.746 6.746 6.809
angles (deg): 90.00 90.00 90.00
Fractional positions:
Rb (0.000, 0.000, 0.000)
Na (0.500, 0.500, 0.500)
Te (0.000, 0.500, 0.000)
Te (0.500, 0.000, 0.000)
I (0.000, 0.000, 0.500)

***

[2]
A plane-wave DFT calculation with GGA-PBE was carried out for NbTlTeRuIBr after structural relaxation.

Values from the calculation:
**Distance to the lowest polymorph of the same formula**: 0.40 eV/f.u.
**Formation energy (no corrections)**: -223 meV per atom
**Raw total energy**: -4.9024 eV/atom

a b c (Å): 4.034 5.821 9.079
angles (deg): 104.63 98.34 91.40
Fractional positions:
Nb (0.000, 0.000, 0.000)
Tl (0.669, 0.375, 0.605)
Te (0.985, 0.478, 0.985)
Ru (0.483, 0.756, 0.923)
I (0.206, 0.892, 0.677)
Br (0.056, 0.106, 0.292)

***

| no. | total magnetic moment (μB/atom) |
| --- | --- |
| 1 | 0.606 |
| 2 | 0.000 |